<i>
A geometry-optimized KNaSbAu structure. Source: Alexandria via LeMat-Bulk, functional PBE.

## Properties
magnetization: 0.000 μB/atom
N(E_F): 0.653 states/eV/f.u.

Unit cell a=7.4113 b=7.4113 c=7.4113 alpha=90.00 beta=90.00 gamma=90.00
Space group F-43m (No. 216)
Asymmetric unit:
K 0.0000 0.0000 0.0000 x4
Na 0.2500 0.2500 0.7500 x4
Sb 0.0000 0.0000 0.5000 x4
Au 0.2500 0.2500 0.2500 x4



<ii>
A geometry-optimized KNaSbAu structure. Source: Alexandria via LeMat-Bulk, functional PBE.

## Properties
magnetization: 0.000 μB/atom
N(E_F): 0.250 states/eV/f.u.

Unit cell a=4.9918 b=5.3343 c=10.4591 alpha=90.00 beta=90.00 gamma=90.00
Space group Amm2 (No. 38)
Asymmetric unit:
K 0.0000 0.0000 0.0000 x2
Na 0.5000 0.0000 0.7129 x2
Sb 0.5000 0.0000 0.3907 x2
Au 0.0000 0.0000 0.3067 x2



Quick one: most stable of them? <ii>



<i>
A geometry-optimized KNa2TlAu structure. Source: Alexandria via LeMat-Bulk, functional PBE.

## Properties
magnetization: 0.000 μB/atom
N(E_F): 3.374 states/eV/f.u.

Unit cell a=5.6865 b=5.6865 c=5.7441 alpha=90.00 beta=90.00 gamma=90.00
Space group P4/mmm (No. 123)
Asymmetric unit:
K 0.0000 0.0000 0.0000 x1
Na 0.0000 0.5000 0.5000 x2
Tl 0.5000 0.5000 0.0000 x1
Au 0.5000 0.5000 0.5000 x1



<ii>
A geometry-optimized KNa2TlAu structure. Source: Alexandria via LeMat-Bulk, functional PBE.

## Properties
magnetization: 0.000 μB/atom
N(E_F): 2.310 states/eV/f.u.

Unit cell a=5.6303 b=5.6303 c=6.1833 alpha=90.00 beta=90.00 gamma=90.00
Space group P4/mmm (No. 123)
Asymmetric unit:
K 0.0000 0.0000 0.0000 x1
Na 0.0000 0.5000 0.5000 x2
Tl 0.5000 0.5000 0.0000 x1
Au 0.0000 0.0000 0.5000 x1



Quick one: most stable of them? <i>



<i>
A geometry-optimized KNaTl2Au structure. Source: Alexandria via LeMat-Bulk, functional PBE.

## Properties
magnetization: 0.000 μB/atom
N(E_F): 2.197 states/eV/f.u.

Unit cell a=5.6322 b=5.6322 c=5.6714 alpha=90.00 beta=90.00 gamma=90.00
Space group P4/mmm (No. 123)
Asymmetric unit:
K 0.0000 0.0000 0.0000 x1
Na 0.5000 0.5000 0.0000 x1
Tl 0.0000 0.5000 0.5000 x2
Au 0.5000 0.5000 0.5000 x1



<ii>
A geometry-optimized KNaTl2Au structure. Source: Alexandria via LeMat-Bulk, functional PBE.

## Properties
magnetization: 0.000 μB/atom
N(E_F): 1.874 states/eV/f.u.

Unit cell a=4.4329 b=5.0241 c=14.0391 alpha=90.00 beta=90.00 gamma=90.00
Space group Imm2 (No. 44)
Asymmetric unit:
K 0.0000 0.0000 0.0000 x2
Na 0.0000 0.5000 0.7688 x2
Tl 0.0000 0.0000 0.6167 x2
Tl 0.0000 0.5000 0.2895 x2
Au 0.0000 0.0000 0.4109 x2



Quick one: most stable of them? <ii>